Sc2AsPb after structural relaxation, computed with PBE.

Summary:
For the energy above the most stable polymorph in this dataset, the calculation gives 0.3609 eV/atom. The calculated formation energy comes out at -0.52 eV per atom. As for the spin magnetization: 0.1237 μB per atom. The value obtained for the final energy is -23.088 eV/f.u.

Cell: 6.2833 7.6357 3.6942 Å, 90.00 90.00 90.00°
Closest atoms and distances in Å follow each position.
Element x y z (fractional)
Sc1 0.2500 0.2500 0.0000  4 As 3.09, 4 Pb 3.09, 2 Sc 3.14
Sc2 0.2500 0.7500 0.0000  4 As 3.09, 4 Pb 3.09, 2 Sc 3.14
Sc3 0.7500 0.2500 0.0000  4 Pb 3.09, 4 As 3.09, 2 Sc 3.14
Sc4 0.7500 0.7500 0.0000  4 As 3.09, 4 Pb 3.09, 2 Sc 3.14
As1 0.0000 0.0000 0.5000  8 Sc 3.09, 2 Pb 3.14
As2 0.5000 0.5000 0.5000  8 Sc 3.09, 2 Pb 3.14
Pb1 0.0000 0.5000 0.5000  8 Sc 3.09, 2 As 3.14
Pb2 0.5000 0.0000 0.5000  8 Sc 3.09, 2 As 3.14

ScMnSe3 after structural relaxation, computed with PBE.

Summary:
For the energy above the most stable polymorph in this dataset, the calculation gives 0.7733 eV/atom. As for the spin magnetization: 0.9534 μB per atom. The value obtained for the final energy is -27.072 eV/f.u. The value obtained for the uncorrected formation energy is -0.223 eV per atom.

Cell: 5.1229 5.1229 5.1229 Å, 90.00 90.00 90.00°
Closest atoms and distances in Å follow each position.
Element x y z (fractional)
Sc1 0.0000 0.0000 0.0000  6 Se 2.56
Mn1 0.5000 0.5000 0.5000  12 Se 3.62
Se1 0.0000 0.0000 0.5000  2 Sc 2.56
Se2 0.0000 0.5000 0.0000  2 Sc 2.56
Se3 0.5000 0.0000 0.0000  2 Sc 2.56

Rb8ZrSe6 after structural relaxation, computed with PBE.

Summary:
As for the spin magnetization: 0.0121 μB per atom. The value obtained for the final energy is -54.484 eV/f.u. The value obtained for the uncorrected formation energy is -1.153 eV per atom.

Cell: 10.4693 9.2672 12.9538 Å, 90.00 90.00 90.00°
Closest atoms and distances in Å follow each position.
Element x y z (fractional)
Rb1 0.0000 0.1522 0.0000  4 Se 3.43-3.56
Rb2 0.0000 0.1778 0.5205  3 Se 3.31-3.38
Rb3 0.1725 0.5203 0.1666  4 Se 3.38-3.65, 2 Rb 3.49-3.61
Rb4 0.1811 0.6748 0.8647  5 Se 3.36-3.66, 1 Rb 3.49
Rb5 0.1969 0.9417 0.2437  4 Se 3.41-3.58
Rb6 0.3031 0.0583 0.7437  4 Se 3.41-3.58
Rb7 0.3189 0.3252 0.3647  5 Se 3.36-3.66, 1 Rb 3.49
Rb8 0.3275 0.4797 0.6666  4 Se 3.38-3.65, 2 Rb 3.49-3.61
Rb9 0.5000 0.8222 0.0205  3 Se 3.31-3.38
Rb10 0.5000 0.8478 0.5000  4 Se 3.43-3.56
Rb11 0.6725 0.4797 0.6666  4 Se 3.38-3.65, 2 Rb 3.49-3.61
Rb12 0.6811 0.3252 0.3647  5 Se 3.36-3.66, 1 Rb 3.49
Rb13 0.6969 0.0583 0.7437  4 Se 3.41-3.58
Rb14 0.8031 0.9417 0.2437  4 Se 3.41-3.58
Rb15 0.8189 0.6748 0.8647  5 Se 3.36-3.66, 1 Rb 3.49
Rb16 0.8275 0.5203 0.1666  4 Se 3.38-3.65, 2 Rb 3.49-3.61
Zr1 0.0000 0.6858 0.5566  4 Se 2.56-2.58
Zr2 0.5000 0.3142 0.0566  4 Se 2.56-2.58
Se1 0.0000 0.2334 0.2684  8 Rb 3.31-3.66
Se2 0.0000 0.4669 0.6790  1 Zr 2.57
Se3 0.0000 0.7917 0.0614  7 Rb 3.36-3.43
Se4 0.0000 0.8983 0.6855  1 Zr 2.58
Se5 0.2028 0.6801 0.4461  1 Zr 2.56
Se6 0.2972 0.3199 0.9461  1 Zr 2.56
Se7 0.5000 0.1017 0.1855  1 Zr 2.58
Se8 0.5000 0.2083 0.5614  7 Rb 3.36-3.43
Se9 0.5000 0.5331 0.1790  1 Zr 2.57
Se10 0.5000 0.7666 0.7684  8 Rb 3.31-3.66
Se11 0.7028 0.3199 0.9461  1 Zr 2.56
Se12 0.7972 0.6801 0.4461  1 Zr 2.56

ZnFe4Sn after structural relaxation, computed with PBE.

Summary:
The calculated formation energy comes out at 0.15 eV per atom. As for the spin magnetization: 1.4484 μB per atom. The value obtained for the final energy is -38.256 eV/f.u.

Cell: 4.8957 4.8957 4.8957 Å, 60.00 60.00 60.00°
Closest atoms and distances in Å follow each position.
Element x y z (fractional)
Zn1 0.0000 0.0000 0.0000  12 Fe 2.87, 4 Sn 3.00
Fe1 0.1227 0.6258 0.6258  6 Fe 2.43-2.46
Fe2 0.6258 0.1227 0.6258  6 Fe 2.43-2.46
Fe3 0.6258 0.6258 0.1227  6 Fe 2.43-2.46
Fe4 0.6258 0.6258 0.6258  6 Fe 2.43-2.46
Sn1 0.2500 0.2500 0.2500  12 Fe 2.87, 4 Zn 3.00

LiCd6Ag after structural relaxation, computed with PBE.

Summary:
For the energy above the most stable polymorph in this dataset, the calculation gives 0.0388 eV/atom. The calculated formation energy comes out at -0.06 eV per atom. As for the spin magnetization: 0.0000 μB per atom. The value obtained for the final energy is -10.775 eV/f.u.

Cell: 5.5511 5.5766 5.5946 Å, 95.73 95.83 94.49°
Closest atoms and distances in Å follow each position.
Element x y z (fractional)
Li1 0.0000 0.0000 0.0000  6 Cd 2.92-2.98
Cd1 0.0465 0.4456 0.7501  7 Cd 2.91-3.25, 1 Li 2.98, 1 Ag 3.01
Cd2 0.2504 0.9508 0.5571  6 Cd 2.90-3.19, 1 Li 2.96, 1 Ag 2.97
Cd3 0.4437 0.7514 0.0491  7 Cd 2.91-3.25, 1 Li 2.92, 1 Ag 3.01
Cd4 0.5563 0.2486 0.9509  7 Cd 2.91-3.25, 1 Li 2.92, 1 Ag 3.01
Cd5 0.7496 0.0492 0.4429  6 Cd 2.90-3.19, 1 Li 2.96, 1 Ag 2.97
Cd6 0.9535 0.5544 0.2499  7 Cd 2.91-3.25, 1 Li 2.98, 1 Ag 3.01
Ag1 0.5000 0.5000 0.5000  12 Cd 2.97-3.32

MnBe2TlBr8 after structural relaxation, computed with PBE.

Summary:
As for the spin magnetization: 0.3332 μB per atom. The value obtained for the final energy is -41.850 eV/f.u. The value obtained for the uncorrected formation energy is -0.790 eV per atom.

Cell: 10.5319 10.5319 10.5319 Å, 35.14 35.14 35.14°
Closest atoms and distances in Å follow each position.
Element x y z (fractional)
Mn1 0.0000 0.0000 0.0000  6 Br 2.59
Be1 0.2589 0.2589 0.2589  4 Br 2.14-2.22
Be2 0.7411 0.7411 0.7411  4 Br 2.14-2.22
Tl1 0.5000 0.5000 0.5000  12 Br 3.72-4.03
Br1 0.0470 0.3813 0.7274  1 Be 2.22
Br2 0.1867 0.1867 0.1867  1 Be 2.14
Br3 0.2726 0.9530 0.6187  1 Be 2.22
Br4 0.3813 0.7274 0.0470  1 Be 2.22
Br5 0.6187 0.2726 0.9530  1 Be 2.22
Br6 0.7274 0.0470 0.3813  1 Be 2.22
Br7 0.8133 0.8133 0.8133  1 Be 2.14
Br8 0.9530 0.6187 0.2726  1 Be 2.22

ZnAuBr4 after structural relaxation, computed with PBE.

Summary:
For the energy above the most stable polymorph in this dataset, the calculation gives 1.1838 eV/atom. As for the spin magnetization: 0.1365 μB per atom. The value obtained for the final energy is -6.381 eV/f.u. The value obtained for the uncorrected formation energy is 0.810 eV per atom.

Cell: 6.2534 6.2534 6.2534 Å, 60.00 60.00 60.00°
Closest atoms and distances in Å follow each position.
Element x y z (fractional)
Zn1 0.0000 0.0000 0.0000  12 Br 3.67, 4 Au 3.83
Au1 0.7500 0.7500 0.7500  12 Br 3.66, 4 Zn 3.83
Br1 0.3758 0.3758 0.3758  6 Br 3.11-3.15
Br2 0.3758 0.3758 0.8726  6 Br 3.11-3.15
Br3 0.3758 0.8726 0.3758  6 Br 3.11-3.15
Br4 0.8726 0.3758 0.3758  6 Br 3.11-3.15

SrMgZr2Os after structural relaxation, computed with PBE.

Summary:
The calculated formation energy comes out at 1.18 eV per atom. As for the spin magnetization: 0.0000 μB per atom. The value obtained for the final energy is -25.721 eV/f.u.

Cell: 5.2007 5.2007 4.7412 Å, 90.00 90.00 90.00°
Closest atoms and distances in Å follow each position.
Element x y z (fractional)
Sr1 0.0000 0.0000 0.0000  8 Zr 3.52, 4 Os 3.68
Mg1 0.5000 0.5000 0.5000  2 Os 2.37, 4 Zr 2.60
Zr1 0.0000 0.5000 0.5000  2 Mg 2.60
Zr2 0.5000 0.0000 0.5000  2 Mg 2.60
Os1 0.5000 0.5000 0.0000  2 Mg 2.37

LiCa3Tl4 after structural relaxation, computed with PBE.

Summary:
The calculated formation energy comes out at -0.37 eV per atom. As for the spin magnetization: 0.0000 μB per atom. The value obtained for the final energy is -20.353 eV/f.u.

Cell: 3.7830 3.7830 15.4130 Å, 90.00 90.00 90.00°
Closest atoms and distances in Å follow each position.
Element x y z (fractional)
Li1 0.0000 0.0000 0.0000  8 Tl 3.11
Ca1 0.0000 0.0000 0.2387  8 Tl 3.37-3.39, 1 Li 3.68
Ca2 0.0000 0.0000 0.5000  8 Tl 3.33
Ca3 0.0000 0.0000 0.7613  8 Tl 3.37-3.39, 1 Li 3.68
Tl1 0.5000 0.5000 0.1033  4 Li 3.11, 1 Tl 3.19, 4 Ca 3.39
Tl2 0.5000 0.5000 0.3715  8 Ca 3.33-3.37
Tl3 0.5000 0.5000 0.6285  8 Ca 3.33-3.37
Tl4 0.5000 0.5000 0.8967  4 Li 3.11, 1 Tl 3.19, 4 Ca 3.39

BaLa3Pt after structural relaxation, computed with PBE.

Summary:
For the energy above the most stable polymorph in this dataset, the calculation gives 0.5626 eV/atom. The calculated formation energy comes out at 0.15 eV per atom. As for the spin magnetization: 0.0002 μB per atom. The value obtained for the final energy is -21.986 eV/f.u.

Cell: 3.7953 6.8176 19.0196 Å, 90.00 90.00 90.00°
Closest atoms and distances in Å follow each position.
Element x y z (fractional)
Ba1 0.0000 0.0000 0.0000  2 La 3.74, 2 Ba 3.80
Ba2 0.0000 0.5000 0.5000  2 La 3.74, 2 Ba 3.80
La1 0.0000 0.2436 0.8237  2 Pt 2.86
La2 0.0000 0.2564 0.3237  2 Pt 2.86
La3 0.0000 0.7436 0.3237  2 Pt 2.86
La4 0.0000 0.7564 0.8237  2 Pt 2.86
La5 0.5000 0.0000 0.1969  6 La 3.53-3.80, 1 Pt 3.64
La6 0.5000 0.5000 0.6969  6 La 3.53-3.80, 1 Pt 3.64
Pt1 0.5000 0.0000 0.3881  4 La 2.86
Pt2 0.5000 0.5000 0.8881  4 La 2.86

CaNp4Sb5 after structural relaxation, computed with PBE.

Summary:
As for the spin magnetization: 0.0081 μB per atom. The value obtained for the final energy is -77.440 eV/f.u. The value obtained for the uncorrected formation energy is -0.306 eV per atom.

Cell: 11.8438 11.8438 11.8438 Å, 158.74 149.50 37.48°
Closest atoms and distances in Å follow each position.
Element x y z (fractional)
Ca1 0.0000 0.0000 0.0000  6 Sb 3.12-3.21
Np1 0.2025 0.2025 0.0000  6 Sb 3.09-3.12
Np2 0.4019 0.4019 0.0000  6 Sb 3.10-3.13
Np3 0.5981 0.5981 0.0000  6 Sb 3.10-3.13
Np4 0.7975 0.7975 0.0000  6 Sb 3.09-3.12
Sb1 0.1050 0.6050 0.5000  4 Np 3.09-3.12, 2 Ca 3.21
Sb2 0.3018 0.8018 0.5000  6 Np 3.12-3.13
Sb3 0.5000 0.0000 0.5000  4 Np 3.10, 2 Ca 3.12
Sb4 0.6982 0.1982 0.5000  6 Np 3.12-3.13
Sb5 0.8950 0.3950 0.5000  4 Np 3.09-3.12, 2 Ca 3.21

Tl12Sn3Hg5 after structural relaxation, computed with PBE.

Summary:
The calculated formation energy comes out at 0.12 eV per atom. As for the spin magnetization: 0.0000 μB per atom. The value obtained for the final energy is -39.600 eV/f.u.

Cell: 15.6202 15.6202 15.6202 Å, 109.47 109.47 109.47°
Closest atoms and distances in Å follow each position.
Element x y z (fractional)
Tl1 0.0609 0.2273 0.1382  2 Hg 2.99-3.07, 1 Sn 3.20
Tl2 0.0609 0.3336 0.9227  2 Hg 2.99-3.07, 1 Sn 3.20
Tl3 0.0773 0.6382 0.4109  2 Hg 2.99-3.07, 1 Sn 3.20
Tl4 0.0773 0.9391 0.6664  2 Hg 2.99-3.07, 1 Sn 3.20
Tl5 0.0891 0.7273 0.6664  2 Hg 2.99-3.07, 1 Sn 3.20
Tl6 0.0891 0.8618 0.4227  2 Hg 2.99-3.07, 1 Sn 3.20
Tl7 0.1382 0.0609 0.2273  2 Hg 2.99-3.07, 1 Sn 3.20
Tl8 0.1382 0.5773 0.9109  2 Hg 2.99-3.07, 1 Sn 3.20
Tl9 0.1664 0.2273 0.5891  2 Hg 2.99-3.07, 1 Sn 3.20
Tl10 0.1664 0.4391 0.5773  2 Hg 2.99-3.07, 1 Sn 3.20
Tl11 0.2273 0.1382 0.0609  2 Hg 2.99-3.07, 1 Sn 3.20
Tl12 0.2273 0.5891 0.1664  2 Hg 2.99-3.07, 1 Sn 3.20
Tl13 0.2727 0.3336 0.9109  2 Hg 2.99-3.07, 1 Sn 3.20
Tl14 0.2727 0.4391 0.3618  2 Hg 2.99-3.07, 1 Sn 3.20
Tl15 0.3336 0.9109 0.2727  2 Hg 2.99-3.07, 1 Sn 3.20
Tl16 0.3336 0.9227 0.0609  2 Hg 2.99-3.07, 1 Sn 3.20
Tl17 0.3618 0.2727 0.4391  2 Hg 2.99-3.07, 1 Sn 3.20
Tl18 0.3618 0.5891 0.9227  2 Hg 2.99-3.07, 1 Sn 3.20
Tl19 0.4109 0.0773 0.6382  2 Hg 2.99-3.07, 1 Sn 3.20
Tl20 0.4109 0.8336 0.7727  2 Hg 2.99-3.07, 1 Sn 3.20
Tl21 0.4227 0.0891 0.8618  2 Hg 2.99-3.07, 1 Sn 3.20
Tl22 0.4227 0.8336 0.5609  2 Hg 2.99-3.07, 1 Sn 3.20
Tl23 0.4391 0.3618 0.2727  2 Hg 2.99-3.07, 1 Sn 3.20
Tl24 0.4391 0.5773 0.1664  2 Hg 2.99-3.07, 1 Sn 3.20
Tl25 0.5609 0.4227 0.8336  2 Hg 2.99-3.07, 1 Sn 3.20
Tl26 0.5609 0.6382 0.7273  2 Hg 2.99-3.07, 1 Sn 3.20
Tl27 0.5773 0.1664 0.4391  2 Hg 2.99-3.07, 1 Sn 3.20
Tl28 0.5773 0.9109 0.1382  2 Hg 2.99-3.07, 1 Sn 3.20
Tl29 0.5891 0.1664 0.2273  2 Hg 2.99-3.07, 1 Sn 3.20
Tl30 0.5891 0.9227 0.3618  2 Hg 2.99-3.07, 1 Sn 3.20
Tl31 0.6382 0.4109 0.0773  2 Hg 2.99-3.07, 1 Sn 3.20
Tl32 0.6382 0.7273 0.5609  2 Hg 2.99-3.07, 1 Sn 3.20
Tl33 0.6664 0.0773 0.9391  2 Hg 2.99-3.07, 1 Sn 3.20
Tl34 0.6664 0.0891 0.7273  2 Hg 2.99-3.07, 1 Sn 3.20
Tl35 0.7273 0.5609 0.6382  2 Hg 2.99-3.07, 1 Sn 3.20
Tl36 0.7273 0.6664 0.0891  2 Hg 2.99-3.07, 1 Sn 3.20
Tl37 0.7727 0.4109 0.8336  2 Hg 2.99-3.07, 1 Sn 3.20
Tl38 0.7727 0.8618 0.9391  2 Hg 2.99-3.07, 1 Sn 3.20
Tl39 0.8336 0.5609 0.4227  2 Hg 2.99-3.07, 1 Sn 3.20
Tl40 0.8336 0.7727 0.4109  2 Hg 2.99-3.07, 1 Sn 3.20
Tl41 0.8618 0.4227 0.0891  2 Hg 2.99-3.07, 1 Sn 3.20
Tl42 0.8618 0.9391 0.7727  2 Hg 2.99-3.07, 1 Sn 3.20
Tl43 0.9109 0.1382 0.5773  2 Hg 2.99-3.07, 1 Sn 3.20
Tl44 0.9109 0.2727 0.3336  2 Hg 2.99-3.07, 1 Sn 3.20
Tl45 0.9227 0.0609 0.3336  2 Hg 2.99-3.07, 1 Sn 3.20
Tl46 0.9227 0.3618 0.5891  2 Hg 2.99-3.07, 1 Sn 3.20
Tl47 0.9391 0.6664 0.0773  2 Hg 2.99-3.07, 1 Sn 3.20
Tl48 0.9391 0.7727 0.8618  2 Hg 2.99-3.07, 1 Sn 3.20
Sn1 0.1250 0.2500 0.3750  8 Tl 3.20-3.35
Sn2 0.1250 0.3750 0.7500  8 Tl 3.20-3.35
Sn3 0.2500 0.3750 0.1250  8 Tl 3.20-3.35
Sn4 0.2500 0.8750 0.6250  8 Tl 3.20-3.35
Sn5 0.3750 0.1250 0.2500  8 Tl 3.20-3.35
Sn6 0.3750 0.7500 0.1250  8 Tl 3.20-3.35
Sn7 0.6250 0.2500 0.8750  8 Tl 3.20-3.35
Sn8 0.6250 0.8750 0.7500  8 Tl 3.20-3.35
Sn9 0.7500 0.1250 0.3750  8 Tl 3.20-3.35
Sn10 0.7500 0.6250 0.8750  8 Tl 3.20-3.35
Sn11 0.8750 0.6250 0.2500  8 Tl 3.20-3.35
Sn12 0.8750 0.7500 0.6250  8 Tl 3.20-3.35
Hg1 0.0000 0.0000 0.0000  6 Tl 3.07
Hg2 0.0000 0.0000 0.5000  6 Tl 3.07
Hg3 0.0000 0.5000 0.0000  6 Tl 3.07
Hg4 0.0000 0.5000 0.5000  6 Tl 3.07
Hg5 0.1250 0.7500 0.8750  4 Tl 2.99
Hg6 0.1250 0.8750 0.2500  4 Tl 2.99
Hg7 0.2500 0.1250 0.8750  4 Tl 2.99
Hg8 0.2500 0.6250 0.3750  4 Tl 2.99
Hg9 0.3750 0.2500 0.6250  4 Tl 2.99
Hg10 0.3750 0.6250 0.7500  4 Tl 2.99
Hg11 0.5000 0.0000 0.0000  6 Tl 3.07
Hg12 0.5000 0.0000 0.5000  6 Tl 3.07
Hg13 0.5000 0.5000 0.0000  6 Tl 3.07
Hg14 0.5000 0.5000 0.5000  6 Tl 3.07
Hg15 0.6250 0.3750 0.2500  4 Tl 2.99
Hg16 0.6250 0.7500 0.3750  4 Tl 2.99
Hg17 0.7500 0.3750 0.6250  4 Tl 2.99
Hg18 0.7500 0.8750 0.1250  4 Tl 2.99
Hg19 0.8750 0.1250 0.7500  4 Tl 2.99
Hg20 0.8750 0.2500 0.1250  4 Tl 2.99